Computed, not measured: crystalline YAl2MoF at its relaxed geometry at the GGA+U level of DFT.

The space group is P4/mmm (No. 123) and the conventional cell measures 5.7889, 5.7889 and 4.1647 Å, with angles of 90.00, 90.00 and 90.00 degrees. The asymmetric unit holds Y at (0.0000, 0.0000, 0.0000), Al at (0.0000, 0.5000, 0.0000), Mo at (0.5000, 0.5000, 0.5000) and F at (0.0000, 0.0000, 0.5000).

The calculated total energy comes out at -4.54 eV/atom.